(1)
DFT (PBE) results for an optimized crystal structure of Pm4AlN.

Cell and atoms, written as POSCAR:
```
Pm4AlN
1.0
4.7312 0.0000 0.0000
0.0000 4.7312 0.0000
0.0000 0.0000 6.8355
Pm Al N
4 1 1
direct
0.0000 0.5000 0.2241
0.0000 0.5000 0.7759
0.5000 0.0000 0.2241
0.5000 0.0000 0.7759
0.0000 0.0000 0.5000
0.5000 0.5000 0.0000
```

Calculated values
* space-group type: P4/mmm, No. 123
* E_form (uncorrected): -0.083 eV per atom

(2)
DFT (PBE) results for an optimized crystal structure of AcTb3Pr.

Cell and atoms, written as POSCAR:
```
AcTb3Pr
1.0
9.5363 0.0000 0.0000
0.0000 6.4502 0.0000
-5.1157 0.0000 11.5473
Ac Tb Pr
4 12 4
direct
0.1536 0.1749 0.1018
0.1536 0.3251 0.6018
0.8464 0.6749 0.3982
0.8464 0.8251 0.8982
0.0504 0.6650 0.2044
0.0504 0.8350 0.7044
0.3534 0.1623 0.9019
0.3534 0.3377 0.4019
0.4458 0.6718 0.7993
0.4458 0.8282 0.2993
0.5542 0.1718 0.7007
0.5542 0.3282 0.2007
0.6466 0.6623 0.5981
0.6466 0.8377 0.0981
0.9496 0.1650 0.2956
0.9496 0.3350 0.7956
0.2611 0.6657 0.0010
0.2611 0.8343 0.5010
0.7389 0.1657 0.4990
0.7389 0.3343 0.9990
```

Calculated values
* formation energy: 46 meV/atom
* ΔE to the lowest computed polymorph: 0.0 meV/atom
* space-group type: P2_1/c, No. 14

(3)
DFT (PBE) results for an optimized crystal structure of NiSbSe2.

Cell and atoms, written as POSCAR:
```
NiSbSe2
1.0
4.7678 0.0000 0.0000
0.0000 4.7678 0.0000
0.0000 0.0000 3.4762
Ni Sb Se
1 1 2
direct
0.0000 0.0000 0.0000
0.5000 0.5000 0.0000
0.0000 0.5000 0.5000
0.5000 0.0000 0.5000
```

Calculated values
* space-group type: P4/mmm, No. 123
* E_form (uncorrected): 0.353 eV per atom

(4)
DFT (PBE) results for an optimized crystal structure of Ac12Tl6Au.

Cell and atoms, written as POSCAR:
```
Ac12Tl6Au
1.0
6.6149 3.8191 5.0252
-6.6149 3.8191 5.0252
0.0000 -7.6383 5.0252
Ac Tl Au
12 6 1
direct
0.0494 0.6951 0.9329
0.0671 0.9506 0.3049
0.1754 0.5378 0.4019
0.3049 0.0671 0.9506
0.4019 0.1754 0.5378
0.4622 0.5981 0.8246
0.5378 0.4019 0.1754
0.5981 0.8246 0.4622
0.6951 0.9329 0.0494
0.8246 0.4622 0.5981
0.9329 0.0494 0.6951
0.9506 0.3049 0.0671
0.1598 0.3620 0.7644
0.2356 0.8402 0.6380
0.3620 0.7644 0.1598
0.6380 0.2356 0.8402
0.7644 0.1598 0.3620
0.8402 0.6380 0.2356
0.5000 0.5000 0.5000
```

Calculated values
* formation energy: -209 meV/atom
* space-group type: R-3, No. 148

(5)
DFT (PBE) results for an optimized crystal structure of LiLa5S6.

Cell and atoms, written as POSCAR:
```
LiLa5S6
1.0
3.5689 -6.1857 0.0000
3.5689 6.1857 0.0000
-2.3873 0.0000 6.7297
Li La S
1 5 6
direct
0.0000 0.0000 0.0000
0.1663 0.8337 0.5000
0.3342 0.6658 0.0000
0.5000 0.5000 0.5000
0.6658 0.3342 0.0000
0.8337 0.1663 0.5000
0.0810 0.4058 0.2441
0.2421 0.2421 0.7569
0.4058 0.0810 0.2441
0.5942 0.9190 0.7559
0.7579 0.7579 0.2431
0.9190 0.5942 0.7559
```

Calculated values
* space-group type: C2/m, No. 12
* E_form (uncorrected): -2.050 eV per atom

(6)
DFT (PBE) results for an optimized crystal structure of CaErIrSe.

Cell and atoms, written as POSCAR:
```
CaErIrSe
1.0
0.0000 3.5004 3.5004
3.5004 0.0000 3.5004
3.5004 3.5004 0.0000
Ca Er Ir Se
1 1 1 1
direct
0.0000 0.0000 0.0000
0.5000 0.5000 0.5000
0.2500 0.2500 0.2500
0.7500 0.7500 0.7500
```

Calculated values
* space-group type: F-43m, No. 216
* E_form (uncorrected): -0.830 eV per atom

(7)
DFT (PBE) results for an optimized crystal structure of Tl2RuCl.

Cell and atoms, written as POSCAR:
```
Tl2RuCl
1.0
0.0000 3.6896 3.6896
3.6896 0.0000 3.6896
3.6896 3.6896 0.0000
Tl Ru Cl
2 1 1
direct
0.2500 0.2500 0.2500
0.7500 0.7500 0.7500
0.0000 0.0000 0.0000
0.5000 0.5000 0.5000
```

Calculated values
* ΔE to the lowest computed polymorph: 406.7 meV/atom
* space-group type: Fm-3m, No. 225
* E_form (uncorrected): 0.569 eV per atom

(8)
DFT (PBE) results for an optimized crystal structure of RbTcIr2Pt.

Cell and atoms, written as POSCAR:
```
RbTcIr2Pt
1.0
4.6988 0.0000 0.0000
0.0000 4.6988 0.0000
0.0000 0.0000 5.2877
Rb Tc Ir Pt
1 1 2 1
direct
0.0000 0.0000 0.0000
0.0000 0.0000 0.5000
0.0000 0.5000 0.5000
0.5000 0.0000 0.5000
0.5000 0.5000 0.0000
```

Calculated values
* formation energy: 1840 meV/atom
* space-group type: P4/mmm, No. 123

(9)
DFT (PBE) results for an optimized crystal structure of CaIn3B.

Cell and atoms, written as POSCAR:
```
CaIn3B
1.0
5.9000 0.0000 0.0000
0.0000 5.9000 0.0000
0.0000 0.0000 5.9000
Ca In B
1 3 1
direct
0.0000 0.0000 0.0000
0.0000 0.0000 0.5000
0.0000 0.5000 0.0000
0.5000 0.0000 0.0000
0.5000 0.5000 0.5000
```

Calculated values
* formation energy: 1538 meV/atom
* ΔE to the lowest computed polymorph: 1214.6 meV/atom
* space-group type: Pm-3m, No. 221

(10)
DFT (PBE) results for an optimized crystal structure of AgAsPtSe2.

Cell and atoms, written as POSCAR:
```
AgAsPtSe2
1.0
5.2155 0.0000 0.0000
0.0000 5.2155 0.0000
0.0000 0.0000 4.6476
Ag As Pt Se
1 1 1 2
direct
0.0000 0.0000 0.0000
0.5000 0.5000 0.0000
0.5000 0.5000 0.5000
0.0000 0.5000 0.5000
0.5000 0.0000 0.5000
```

Calculated values
* ΔE to the lowest computed polymorph: 0.0 meV/atom
* space-group type: P4/mmm, No. 123
* E_form (uncorrected): 0.517 eV per atom

(11)
DFT (PBE) results for an optimized crystal structure of Ba3Ga2IrO8.

Cell and atoms, written as POSCAR:
```
Ba3Ga2IrO8
1.0
5.7871 0.0000 0.0000
-2.8935 5.0117 0.0000
0.0000 0.0000 7.5034
Ba Ga Ir O
3 2 1 8
direct
0.0000 0.0000 0.0000
0.3333 0.6667 0.6644
0.6667 0.3333 0.3356
0.3333 0.6667 0.2290
0.6667 0.3333 0.7710
0.0000 0.0000 0.5000
0.1599 0.3198 0.3291
0.1599 0.8401 0.3291
0.3198 0.1599 0.6709
0.3333 0.6667 0.9931
0.6667 0.3333 0.0069
0.6802 0.8401 0.3291
0.8401 0.1599 0.6709
0.8401 0.6802 0.6709
```

Calculated values
* space-group type: P-3m1, No. 164
* E_form (uncorrected): -1.935 eV per atom

(12)
DFT (PBE) results for an optimized crystal structure of NbSb.

Cell and atoms, written as POSCAR:
```
NbSb
1.0
9.3311 0.0000 0.0000
0.0000 9.3311 0.0000
0.0000 0.0000 5.2141
Nb Sb
8 8
direct
0.0685 0.3827 0.0000
0.1312 0.5931 0.5000
0.3827 0.9315 0.0000
0.4069 0.1312 0.5000
0.5931 0.8688 0.5000
0.6173 0.0685 0.0000
0.8688 0.4069 0.5000
0.9315 0.6173 0.0000
0.1348 0.2795 0.5000
0.2423 0.6292 0.0000
0.2795 0.8652 0.5000
0.3708 0.2423 0.0000
0.6292 0.7577 0.0000
0.7205 0.1348 0.5000
0.7577 0.3708 0.0000
0.8652 0.7205 0.5000
```

Calculated values
* space-group type: P4/m, No. 83
* E_form (uncorrected): 0.122 eV per atom

Number 1: size of the total moment 0.0 μB per formula unit, mass density 6739 kg/m³. Number 2: size of the total moment 0.0 μB per formula unit, mass density 7899 kg/m³. Number 3: size of the total moment 0.0 μB per formula unit, mass density 7110 kg/m³. Number 4: size of the total moment 0.0 μB per formula unit, mass density 9041 kg/m³. Number 5: size of the total moment 0.0 μB per formula unit, mass density 4995 kg/m³. Number 6: size of the total moment 0.0 μB per formula unit, mass density 9263 kg/m³. Number 7: size of the total moment 2.5 μB per formula unit, mass density 9014 kg/m³. Number 8: size of the total moment 0.0 μB per formula unit, mass density 10852 kg/m³. Number 9: size of the total moment 0.0 μB per formula unit, mass density 3196 kg/m³. Number 10: size of the total moment 0.0 μB per formula unit, mass density 7038 kg/m³. Number 11: size of the total moment 1.1 μB per formula unit, mass density 6651 kg/m³. Number 12: size of the total moment 0.0 μB per formula unit, mass density 6281 kg/m³.